Below is a geometry-optimized Mn2GaO6 structure, with properties calculated at the PBE+U level.

Cell: 4.4210 5.1507 5.1507 Å, 120.00 90.00 90.00°
Each line ends with the local moment (μB).
Element x y z (fractional)
Ga 0.5000 0.0000 0.0000  0.05
O 0.7154 0.6576 0.0000  -0.26
O 0.7154 0.0000 0.6575  -0.26
O 0.2846 0.0000 0.3425  -0.26
O 0.2846 0.6575 0.6576  -0.26
O 0.2846 0.3424 0.0000  -0.26
O 0.7154 0.3425 0.3424  -0.26
Mn 0.5000 0.6667 0.3333  3.31
Mn 0.5000 0.3333 0.6667  3.31

Fermi-level density of states: 3.33 states/eV per cell
SG: P-31m, No. 162
total energy: -58.7 eV per cell